# 1
CaIn3Ga | PBE | relaxed

Results
ΔE_f   0.63 eV per atom

a = 5.8973 Å, b = 5.8973 Å, c = 5.8973 Å
α = 90.00°, β = 90.00°, γ = 90.00°
Atoms (fractional coordinates):
Ca  0.0000  0.0000  0.0000
Ga  0.5000  0.5000  0.5000
In  0.0000  0.5000  0.0000
In  0.0000  0.0000  0.5000
In  0.5000  0.0000  0.0000

=====

# 2
Ca2HoCd3 | PBE | relaxed

Results
ΔE_f   -0.34 eV per atom

a = 3.8001 Å, b = 3.8001 Å, c = 11.3708 Å
α = 90.00°, β = 90.00°, γ = 90.00°
Atoms (fractional coordinates):
Ca  0.5000  0.5000  0.8305
Ca  0.5000  0.5000  0.1695
Ho  0.5000  0.5000  0.5000
Cd  0.0000  0.0000  0.0000
Cd  0.0000  0.0000  0.6564
Cd  0.0000  0.0000  0.3436